a.
Below is a geometry-optimized CdGe2Te structure, with properties calculated at the GGA-PBE level.

abc: 6.295 6.295 12.589
angles: 90.00 90.00 90.00
Fractional coordinates of all 16 atoms:
Cd 0.000 0.000 0.000
Cd 0.000 0.500 0.250
Cd 0.500 0.000 0.750
Cd 0.500 0.500 0.500
Ge 0.234 0.250 0.125
Ge 0.250 0.734 0.375
Ge 0.250 0.766 0.875
Ge 0.266 0.250 0.625
Ge 0.734 0.750 0.625
Ge 0.750 0.234 0.875
Ge 0.750 0.266 0.375
Ge 0.766 0.750 0.125
Te 0.000 0.000 0.500
Te 0.000 0.500 0.750
Te 0.500 0.000 0.250
Te 0.500 0.500 0.000

- size of the total moment (μB per formula unit) = 0.0
- D(E_F) (states/eV/f.u.) = 0.08

b.
Below is a geometry-optimized CdGe2Te structure, with properties calculated at the GGA-PBE level.

abc: 7.227 7.227 7.227
angles: 90.00 90.00 90.00
Fractional coordinates of all 16 atoms:
Cd 0.000 0.000 0.000
Cd 0.000 0.500 0.500
Cd 0.500 0.000 0.500
Cd 0.500 0.500 0.000
Ge 0.250 0.250 0.250
Ge 0.250 0.250 0.750
Ge 0.250 0.750 0.250
Ge 0.250 0.750 0.750
Ge 0.750 0.250 0.250
Ge 0.750 0.250 0.750
Ge 0.750 0.750 0.250
Ge 0.750 0.750 0.750
Te 0.000 0.000 0.500
Te 0.000 0.500 0.000
Te 0.500 0.000 0.000
Te 0.500 0.500 0.500

- size of the total moment (μB per formula unit) = 0.0
- D(E_F) (states/eV/f.u.) = 2.70

It is a that is most stable; the runner-up trails by 0.110 eV/atom.

a.
Below is a geometry-optimized Ti2ZnCdGe structure, with properties calculated at the GGA-PBE level.

abc: 4.740 4.740 4.733
angles: 90.00 90.00 90.00
Fractional coordinates of all 5 atoms:
Ti 0.000 0.500 0.000
Ti 0.500 0.000 0.000
Zn 0.000 0.000 0.000
Cd 0.000 0.000 0.500
Ge 0.500 0.500 0.500

- size of the total moment (μB per formula unit) = 0.0
- D(E_F) (states/eV/f.u.) = 3.14

b.
Below is a geometry-optimized Ti2ZnCdGe structure, with properties calculated at the GGA-PBE level.

abc: 5.016 5.016 4.665
angles: 90.00 90.00 90.00
Fractional coordinates of all 5 atoms:
Ti 0.000 0.500 0.000
Ti 0.500 0.000 0.000
Zn 0.000 0.000 0.500
Cd 0.000 0.000 0.000
Ge 0.500 0.500 0.500

- size of the total moment (μB per formula unit) = 0.0
- D(E_F) (states/eV/f.u.) = 3.93

It is a that is most stable; the runner-up trails by 0.389 eV/atom.

a.
Below is a geometry-optimized Tl2CdGe structure, with properties calculated at the GGA-PBE level.

abc: 5.505 5.505 3.448
angles: 90.00 90.00 90.00
Fractional coordinates of all 4 atoms:
Tl 0.000 0.500 0.000
Tl 0.500 0.000 0.000
Cd 0.000 0.000 0.500
Ge 0.500 0.500 0.500

- size of the total moment (μB per formula unit) = 0.0
- D(E_F) (states/eV/f.u.) = 1.77

b.
Below is a geometry-optimized Tl2CdGe structure, with properties calculated at the GGA-PBE level.

abc: 8.532 8.532 6.093
angles: 90.00 90.00 90.00
Fractional coordinates of all 16 atoms:
Tl 0.215 0.250 0.125
Tl 0.250 0.715 0.375
Tl 0.250 0.785 0.875
Tl 0.285 0.250 0.625
Tl 0.715 0.750 0.625
Tl 0.750 0.215 0.875
Tl 0.750 0.285 0.375
Tl 0.785 0.750 0.125
Cd 0.000 0.000 0.500
Cd 0.000 0.500 0.750
Cd 0.500 0.000 0.250
Cd 0.500 0.500 0.000
Ge 0.000 0.000 0.000
Ge 0.000 0.500 0.250
Ge 0.500 0.000 0.750
Ge 0.500 0.500 0.500

- size of the total moment (μB per formula unit) = 0.0
- D(E_F) (states/eV/f.u.) = 2.01

c.
Below is a geometry-optimized Tl2CdGe structure, with properties calculated at the GGA-PBE level.

abc: 7.480 7.480 7.480
angles: 90.00 90.00 90.00
Fractional coordinates of all 16 atoms:
Tl 0.250 0.250 0.250
Tl 0.250 0.250 0.750
Tl 0.250 0.750 0.250
Tl 0.250 0.750 0.750
Tl 0.750 0.250 0.250
Tl 0.750 0.250 0.750
Tl 0.750 0.750 0.250
Tl 0.750 0.750 0.750
Cd 0.000 0.000 0.000
Cd 0.000 0.500 0.500
Cd 0.500 0.000 0.500
Cd 0.500 0.500 0.000
Ge 0.000 0.000 0.500
Ge 0.000 0.500 0.000
Ge 0.500 0.000 0.000
Ge 0.500 0.500 0.500

- size of the total moment (μB per formula unit) = 0.0
- D(E_F) (states/eV/f.u.) = 1.45

It is a that is most stable; the runner-up trails by 0.022 eV/atom.

a.
Below is a geometry-optimized Tl2CdGe structure, with properties calculated at the GGA-PBE level.

abc: 3.635 3.635 7.954
angles: 90.00 90.00 90.00
Fractional coordinates of all 4 atoms:
Tl 0.000 0.000 0.243
Tl 0.000 0.000 0.757
Cd 0.500 0.500 0.500
Ge 0.500 0.500 0.000

- size of the total moment (μB per formula unit) = 0.0
- D(E_F) (states/eV/f.u.) = 2.60

b.
Below is a geometry-optimized Tl2CdGe structure, with properties calculated at the GGA-PBE level.

abc: 3.210 3.210 35.609
angles: 90.00 90.00 120.00
Fractional coordinates of all 12 atoms:
Tl 0.000 0.000 0.084
Tl 0.000 0.000 0.916
Tl 0.333 0.667 0.583
Tl 0.333 0.667 0.751
Tl 0.667 0.333 0.249
Tl 0.667 0.333 0.417
Cd 0.000 0.000 0.500
Cd 0.333 0.667 0.167
Cd 0.667 0.333 0.833
Ge 0.000 0.000 0.000
Ge 0.333 0.667 0.667
Ge 0.667 0.333 0.333

- size of the total moment (μB per formula unit) = 0.0
- D(E_F) (states/eV/f.u.) = 1.77

It is a that is most stable; the runner-up trails by 0.033 eV/atom.

a.
Below is a geometry-optimized TmCdGe2 structure, with properties calculated at the GGA-PBE level.

abc: 4.499 4.499 4.068
angles: 90.00 90.00 90.00
Fractional coordinates of all 4 atoms:
Tm 0.000 0.000 0.000
Cd 0.500 0.500 0.000
Ge 0.000 0.500 0.500
Ge 0.500 0.000 0.500

- size of the total moment (μB per formula unit) = 0.0
- D(E_F) (states/eV/f.u.) = 1.68

b.
Below is a geometry-optimized TmCdGe2 structure, with properties calculated at the GGA-PBE level.

abc: 4.572 4.572 14.518
angles: 90.00 90.00 120.00
Fractional coordinates of all 12 atoms:
Tm 0.000 0.000 0.000
Tm 0.333 0.667 0.667
Tm 0.667 0.333 0.333
Cd 0.000 0.000 0.500
Cd 0.333 0.667 0.167
Cd 0.667 0.333 0.833
Ge 0.000 0.000 0.246
Ge 0.000 0.000 0.754
Ge 0.333 0.667 0.420
Ge 0.333 0.667 0.913
Ge 0.667 0.333 0.087
Ge 0.667 0.333 0.580

- size of the total moment (μB per formula unit) = 0.0
- D(E_F) (states/eV/f.u.) = 1.74

It is a that is most stable; the runner-up trails by 0.189 eV/atom.

a.
Below is a geometry-optimized V2Cd2Ge structure, with properties calculated at the GGA-PBE level.

abc: 8.054 8.054 2.998
angles: 90.00 90.00 90.00
Fractional coordinates of all 10 atoms:
V 0.084 0.416 0.000
V 0.416 0.916 0.000
V 0.584 0.084 0.000
V 0.916 0.584 0.000
Cd 0.204 0.704 0.500
Cd 0.296 0.204 0.500
Cd 0.704 0.796 0.500
Cd 0.796 0.296 0.500
Ge 0.000 0.000 0.500
Ge 0.500 0.500 0.500

- size of the total moment (μB per formula unit) = 0.0
- D(E_F) (states/eV/f.u.) = 3.95

b.
Below is a geometry-optimized V2Cd2Ge structure, with properties calculated at the GGA-PBE level.

abc: 3.282 3.282 17.903
angles: 90.00 90.00 90.00
Fractional coordinates of all 10 atoms:
V 0.000 0.500 0.250
V 0.000 0.500 0.750
V 0.500 0.000 0.250
V 0.500 0.000 0.750
Cd 0.000 0.000 0.112
Cd 0.000 0.000 0.888
Cd 0.500 0.500 0.388
Cd 0.500 0.500 0.612
Ge 0.000 0.000 0.500
Ge 0.500 0.500 0.000

- size of the total moment (μB per formula unit) = 0.0
- D(E_F) (states/eV/f.u.) = 3.85

It is b that is most stable; the runner-up trails by 0.036 eV/atom.

a.
Below is a geometry-optimized Cd3GeW structure, with properties calculated at the GGA-PBE level.

abc: 5.118 5.118 5.118
angles: 90.00 90.00 90.00
Fractional coordinates of all 5 atoms:
Cd 0.000 0.000 0.500
Cd 0.000 0.500 0.000
Cd 0.500 0.000 0.000
Ge 0.000 0.000 0.000
W 0.500 0.500 0.500

- size of the total moment (μB per formula unit) = 4.1
- D(E_F) (states/eV/f.u.) = 2.16

b.
Below is a geometry-optimized Cd3GeW structure, with properties calculated at the GGA-PBE level.

abc: 5.260 5.260 5.260
angles: 90.00 90.00 90.00
Fractional coordinates of all 5 atoms:
Cd 0.000 0.000 0.500
Cd 0.000 0.500 0.000
Cd 0.500 0.000 0.000
Ge 0.500 0.500 0.500
W 0.000 0.000 0.000

- size of the total moment (μB per formula unit) = 0.0
- D(E_F) (states/eV/f.u.) = 2.66

It is b that is most stable; the runner-up trails by 0.075 eV/atom.

a.
Below is a geometry-optimized YCd2Ge2 structure, with properties calculated at the GGA-PBE level.

abc: 4.834 4.834 10.087
angles: 90.00 90.00 90.00
Fractional coordinates of all 10 atoms:
Y 0.000 0.000 0.000
Y 0.500 0.500 0.500
Cd 0.000 0.000 0.369
Cd 0.000 0.000 0.631
Cd 0.500 0.500 0.131
Cd 0.500 0.500 0.869
Ge 0.000 0.500 0.250
Ge 0.000 0.500 0.750
Ge 0.500 0.000 0.250
Ge 0.500 0.000 0.750

- size of the total moment (μB per formula unit) = 0.0
- D(E_F) (states/eV/f.u.) = 1.93

b.
Below is a geometry-optimized YCd2Ge2 structure, with properties calculated at the GGA-PBE level.

abc: 4.196 4.196 12.700
angles: 90.00 90.00 90.00
Fractional coordinates of all 10 atoms:
Y 0.000 0.000 0.000
Y 0.500 0.500 0.500
Cd 0.000 0.500 0.250
Cd 0.000 0.500 0.750
Cd 0.500 0.000 0.250
Cd 0.500 0.000 0.750
Ge 0.000 0.000 0.402
Ge 0.000 0.000 0.598
Ge 0.500 0.500 0.098
Ge 0.500 0.500 0.902

- size of the total moment (μB per formula unit) = 0.0
- D(E_F) (states/eV/f.u.) = 1.39

c.
Below is a geometry-optimized YCd2Ge2 structure, with properties calculated at the GGA-PBE level.

abc: 7.777 7.777 3.723
angles: 90.00 90.00 90.00
Fractional coordinates of all 10 atoms:
Y 0.000 0.000 0.000
Y 0.500 0.500 0.000
Cd 0.159 0.341 0.500
Cd 0.341 0.841 0.500
Cd 0.659 0.159 0.500
Cd 0.841 0.659 0.500
Ge 0.135 0.635 0.000
Ge 0.365 0.135 0.000
Ge 0.635 0.865 0.000
Ge 0.865 0.365 0.000

- size of the total moment (μB per formula unit) = 0.0
- D(E_F) (states/eV/f.u.) = 2.92

It is b that is most stable; the runner-up trails by 0.124 eV/atom.

a.
Below is a geometry-optimized YCd3Ge structure, with properties calculated at the GGA-PBE level.

abc: 5.746 5.746 5.746
angles: 90.00 90.00 90.00
Fractional coordinates of all 5 atoms:
Y 0.000 0.000 0.000
Cd 0.000 0.000 0.500
Cd 0.000 0.500 0.000
Cd 0.500 0.000 0.000
Ge 0.500 0.500 0.500

- size of the total moment (μB per formula unit) = 0.0
- D(E_F) (states/eV/f.u.) = 5.43

b.
Below is a geometry-optimized YCd3Ge structure, with properties calculated at the GGA-PBE level.

abc: 5.172 5.172 5.172
angles: 90.00 90.00 90.00
Fractional coordinates of all 5 atoms:
Y 0.000 0.000 0.000
Cd 0.000 0.500 0.500
Cd 0.500 0.000 0.500
Cd 0.500 0.500 0.000
Ge 0.500 0.500 0.500

- size of the total moment (μB per formula unit) = 0.0
- D(E_F) (states/eV/f.u.) = 2.57

It is b that is most stable; the runner-up trails by 0.691 eV/atom.

a.
Below is a geometry-optimized YCdGe3 structure, with properties calculated at the GGA-PBE level.

abc: 5.453 5.453 5.453
angles: 90.00 90.00 90.00
Fractional coordinates of all 5 atoms:
Y 0.000 0.000 0.000
Cd 0.500 0.500 0.500
Ge 0.000 0.000 0.500
Ge 0.000 0.500 0.000
Ge 0.500 0.000 0.000

- size of the total moment (μB per formula unit) = 0.0
- D(E_F) (states/eV/f.u.) = 5.47

b.
Below is a geometry-optimized YCdGe3 structure, with properties calculated at the GGA-PBE level.

abc: 5.103 5.103 5.103
angles: 90.00 90.00 90.00
Fractional coordinates of all 5 atoms:
Y 0.000 0.000 0.000
Cd 0.500 0.500 0.500
Ge 0.000 0.500 0.500
Ge 0.500 0.000 0.500
Ge 0.500 0.500 0.000

- size of the total moment (μB per formula unit) = 0.0
- D(E_F) (states/eV/f.u.) = 2.61

It is b that is most stable; the runner-up trails by 0.201 eV/atom.

a.
Below is a geometry-optimized Zn2CdGe structure, with properties calculated at the GGA-PBE level.

abc: 3.687 3.687 20.579
angles: 90.00 90.00 120.00
Fractional coordinates of all 12 atoms:
Zn 0.000 0.000 0.241
Zn 0.000 0.000 0.759
Zn 0.333 0.667 0.425
Zn 0.333 0.667 0.908
Zn 0.667 0.333 0.092
Zn 0.667 0.333 0.575
Cd 0.000 0.000 0.000
Cd 0.333 0.667 0.667
Cd 0.667 0.333 0.333
Ge 0.000 0.000 0.500
Ge 0.333 0.667 0.167
Ge 0.667 0.333 0.833

- size of the total moment (μB per formula unit) = 0.0
- D(E_F) (states/eV/f.u.) = 1.18

b.
Below is a geometry-optimized Zn2CdGe structure, with properties calculated at the GGA-PBE level.

abc: 3.061 3.061 7.788
angles: 90.00 90.00 90.00
Fractional coordinates of all 4 atoms:
Zn 0.000 0.000 0.236
Zn 0.000 0.000 0.764
Cd 0.500 0.500 0.500
Ge 0.500 0.500 0.000

- size of the total moment (μB per formula unit) = 0.0
- D(E_F) (states/eV/f.u.) = 1.23

It is b that is most stable; the runner-up trails by 0.054 eV/atom.

a.
Below is a geometry-optimized Zn2CdGe structure, with properties calculated at the GGA-PBE level.

abc: 4.253 4.253 15.339
angles: 90.00 90.00 120.00
Fractional coordinates of all 12 atoms:
Zn 0.000 0.000 0.000
Zn 0.000 0.000 0.193
Zn 0.333 0.667 0.667
Zn 0.333 0.667 0.860
Zn 0.667 0.333 0.333
Zn 0.667 0.333 0.526
Cd 0.000 0.000 0.424
Cd 0.333 0.667 0.091
Cd 0.667 0.333 0.758
Ge 0.000 0.000 0.609
Ge 0.333 0.667 0.276
Ge 0.667 0.333 0.943

- size of the total moment (μB per formula unit) = 0.0
- D(E_F) (states/eV/f.u.) = 1.25

b.
Below is a geometry-optimized Zn2CdGe structure, with properties calculated at the GGA-PBE level.

abc: 6.685 6.685 6.685
angles: 90.00 90.00 90.00
Fractional coordinates of all 16 atoms:
Zn 0.250 0.250 0.250
Zn 0.250 0.250 0.750
Zn 0.250 0.750 0.250
Zn 0.250 0.750 0.750
Zn 0.750 0.250 0.250
Zn 0.750 0.250 0.750
Zn 0.750 0.750 0.250
Zn 0.750 0.750 0.750
Cd 0.000 0.000 0.000
Cd 0.000 0.500 0.500
Cd 0.500 0.000 0.500
Cd 0.500 0.500 0.000
Ge 0.000 0.000 0.500
Ge 0.000 0.500 0.000
Ge 0.500 0.000 0.000
Ge 0.500 0.500 0.500

- size of the total moment (μB per formula unit) = 0.0
- D(E_F) (states/eV/f.u.) = 2.18

It is a that is most stable; the runner-up trails by 0.053 eV/atom.

a.
Below is a geometry-optimized Zn2CdGe structure, with properties calculated at the GGA-PBE level.

abc: 4.165 4.165 18.202
angles: 90.00 90.00 90.00
Fractional coordinates of all 16 atoms:
Zn 0.239 0.250 0.125
Zn 0.250 0.739 0.375
Zn 0.250 0.761 0.875
Zn 0.261 0.250 0.625
Zn 0.739 0.750 0.625
Zn 0.750 0.239 0.875
Zn 0.750 0.261 0.375
Zn 0.761 0.750 0.125
Cd 0.000 0.000 0.500
Cd 0.000 0.500 0.750
Cd 0.500 0.000 0.250
Cd 0.500 0.500 0.000
Ge 0.000 0.000 0.000
Ge 0.000 0.500 0.250
Ge 0.500 0.000 0.750
Ge 0.500 0.500 0.500

- size of the total moment (μB per formula unit) = 0.0
- D(E_F) (states/eV/f.u.) = 1.63

b.
Below is a geometry-optimized Zn2CdGe structure, with properties calculated at the GGA-PBE level.

abc: 4.233 4.233 4.140
angles: 90.00 90.00 90.00
Fractional coordinates of all 4 atoms:
Zn 0.000 0.500 0.000
Zn 0.500 0.000 0.000
Cd 0.000 0.000 0.500
Ge 0.500 0.500 0.500

- size of the total moment (μB per formula unit) = 0.0
- D(E_F) (states/eV/f.u.) = 1.03

It is b that is most stable; the runner-up trails by 0.025 eV/atom.